Entry 1:
LiDyZnHg, optimized geometry, DFT PBE; DOS(E_F) = 2.26 states/eV per cell; energy of formation = -0.339 eV per atom; total energy = -0.1736 Ry per atom
1.0
4.905 0.000 0.000
2.453 4.248 0.000
2.453 1.416 4.005
Zn Li Hg Dy
1 1 1 1
direct
0.000 0.000 0.000 Zn
0.250 0.250 0.250 Li
0.500 0.500 0.500 Hg
0.750 0.750 0.750 Dy

=====

Entry 2:
Dy2LuHg, optimized geometry, DFT PBE; DOS(E_F) = 5.01 states/eV per cell; energy of formation = -0.215 eV per atom; total energy = -0.2736 Ry per atom; polymorph energy (0 for the lowest one) = 0.0 kJ per mole of atoms
1.0
3.576 0.000 0.000
0.000 3.576 0.000
0.000 0.000 8.861
Lu Hg Dy
1 1 2
direct
0.500 0.500 0.500 Lu
0.500 0.500 0.000 Hg
0.000 0.000 0.773 Dy
0.000 0.000 0.227 Dy

=====

Entry 3:
DyLu2Hg, optimized geometry, DFT PBE; DOS(E_F) = 3.76 states/eV per cell; energy of formation = -0.159 eV per atom; total energy = -0.2679 Ry per atom; polymorph energy (0 for the lowest one) = 6.9 kJ per mole of atoms
1.0
3.542 0.000 0.000
1.771 3.067 0.000
1.771 1.022 10.399
Lu Hg Dy
2 1 1
direct
0.257 0.257 0.228 Lu
0.743 0.743 0.772 Lu
0.000 0.000 0.000 Hg
0.500 0.500 0.500 Dy

=====

Entry 4:
DyLu2Hg, optimized geometry, DFT PBE; DOS(E_F) = 4.87 states/eV per cell; energy of formation = -0.151 eV per atom; total energy = -0.2674 Ry per atom; polymorph energy (0 for the lowest one) = 7.6 kJ per mole of atoms
1.0
4.717 0.000 0.000
0.000 4.755 0.000
0.000 0.000 4.755
Lu Hg Dy
2 1 1
direct
0.000 0.000 0.500 Lu
0.000 0.500 0.000 Lu
0.500 0.000 0.000 Hg
0.500 0.500 0.500 Dy

=====

Entry 5:
Dy2LuHg, optimized geometry, DFT PBE; DOS(E_F) = 5.25 states/eV per cell; energy of formation = -0.121 eV per atom; total energy = -0.2667 Ry per atom; polymorph energy (0 for the lowest one) = 9.1 kJ per mole of atoms
1.0
3.881 0.000 0.000
0.000 5.333 0.000
0.000 0.000 5.333
Lu Hg Dy
1 1 2
direct
0.500 0.500 0.500 Lu
0.500 0.000 0.000 Hg
0.000 0.000 0.500 Dy
0.000 0.500 0.000 Dy

=====

Entry 6:
DyLuHg4, optimized geometry, DFT PBE; DOS(E_F) = 5.61 states/eV per cell; energy of formation = -0.147 eV per atom; total energy = -0.1374 Ry per atom
1.0
5.925 0.000 0.000
2.962 5.131 0.000
2.962 1.710 4.838
Lu Hg Dy
1 4 1
direct
0.000 0.000 0.000 Lu
0.625 0.625 0.125 Hg
0.625 0.125 0.625 Hg
0.625 0.625 0.625 Hg
0.125 0.625 0.625 Hg
0.250 0.250 0.250 Dy

=====

Which formula does entry 3 have? DyLu2Hg